Material: Sm3Y8Th3
Method: DFT, GGA-PBE
State: relaxed

Unit cell a=5.6938 b=9.7142 c=9.7142 alpha=102.67 beta=72.97 gamma=72.97
With the nearest neighbours (Å) after each atom.
Positions (direct):
Sm 0.5000 0.5000 0.5000  2 Sm 3.32, 8 Y 3.68
Sm 0.8094 0.1902 0.1902  1 Sm 3.32, 4 Th 3.46-3.50, 4 Y 3.62
Sm 0.1906 0.8098 0.8098  1 Sm 3.32, 4 Th 3.46-3.50, 4 Y 3.62
Y 0.6579 0.1188 0.5654  6 Y 3.27-3.56, 2 Th 3.59-3.60
Y 0.3421 0.8812 0.4346  6 Y 3.27-3.56, 2 Th 3.59-3.60
Y 0.6579 0.5654 0.1188  6 Y 3.27-3.56, 2 Th 3.59-3.60
Y 0.3421 0.4346 0.8812  6 Y 3.27-3.56, 2 Th 3.59-3.60
Y 0.8393 0.7642 0.5576  5 Y 3.13-3.45
Y 0.1607 0.2358 0.4424  5 Y 3.13-3.45
Y 0.8393 0.5576 0.7642  5 Y 3.13-3.45
Y 0.1607 0.4424 0.2358  5 Y 3.13-3.45
Th 0.5000 0.0000 0.0000  4 Sm 3.50
Th 0.0000 0.8154 0.1846  2 Sm 3.46, 8 Y 3.59-3.71
Th 0.0000 0.1846 0.8154  2 Sm 3.46, 8 Y 3.59-3.71

For the formation energy, the calculation gives 2.30 eV per formula unit. The space-group type is No. 71. For the total magnetization, the calculation gives 0.00 μB per atom. The calculation puts the calculated volume at 33.1 Å³/atom. For the total energy, the calculation gives -6.13 eV per atom.